Density functional theory data (GGA-PBE) for a geometry-optimized TcSnBi2Pt structure.

Its total magnetization is 0.00 Bohr magnetons per cell. The value obtained for the density of states at the Fermi level is 4.24 states/eV/cell. The formation energy from the elements is 0.631 eV/atom. The calculation puts the calculated density at 9.97 Mg/m³.

The space group is P4/mmm (No. 123) and the conventional cell measures 5.2039, 5.2039 and 5.1028 Å, with angles of 90.00, 90.00 and 90.00 degrees. The inequivalent atoms are Tc at (0.0000, 0.0000, 0.0000), Sn at (0.0000, 0.0000, 0.5000), Bi at (0.0000, 0.5000, 0.0000) and Pt at (0.5000, 0.5000, 0.5000).

***

Density functional theory data (GGA-PBE) for a geometry-optimized KY2Cl structure.

Its total magnetization is 1.55 Bohr magnetons per cell. The value obtained for the energy relative to the lowest polymorph listed for this composition is 712.0 meV per atom. The value obtained for the density of states at the Fermi level is 9.58 states/eV/cell. The calculation puts the calculated density at 2.95 Mg/m³. Its energy relative to the elements, uncorrected is 0.0660 eV/atom.

The space group is Cmmm (No. 65) and the conventional cell measures 6.3566, 12.7632 and 3.5031 Å, with angles of 90.00, 90.00 and 90.00 degrees. The inequivalent atoms are K at (0.0000, 0.0000, 0.0000), Y at (0.2500, 0.2500, 0.5000) and Cl at (0.0000, 0.5000, 0.0000).

***

Density functional theory data (GGA-PBE) for a geometry-optimized CeDy2Zr structure.

Its total magnetization is 0.00 Bohr magnetons per cell. The value obtained for the energy relative to the lowest polymorph listed for this composition is 0.0 meV per atom. The value obtained for the density of states at the Fermi level is 4.78 states/eV/cell. The formation energy from the elements is 0.113 eV/atom. The calculation puts the calculated density at 8.15 Mg/m³.

The space group is P4/mmm (No. 123) and the conventional cell measures 4.7951, 4.7951 and 4.9326 Å, with angles of 90.00, 90.00 and 90.00 degrees. The inequivalent atoms are Ce at (0.0000, 0.0000, 0.0000), Dy at (0.0000, 0.5000, 0.5000) and Zr at (0.5000, 0.5000, 0.0000).

***

Density functional theory data (GGA-PBE) for a geometry-optimized SmDy2HoTm5 structure.

Its total magnetization is 0.01 Bohr magnetons per cell. The value obtained for the density of states at the Fermi level is 43.83 states/eV/cell. The formation energy from the elements is 0.294 eV/atom. The calculation puts the calculated density at 8.69 Mg/m³.

The space group is I4/mcm (No. 140) and the conventional cell measures 8.8280, 8.8280 and 14.5612 Å, with angles of 90.00, 90.00 and 90.00 degrees. The inequivalent atoms are Sm at (0.0000, 0.0000, 0.2500), Dy at (0.1131, 0.3869, 0.0000), Ho at (0.0000, 0.5000, 0.2500), Tm at (0.0000, 0.0000, 0.0000) and Tm at (0.2057, 0.2943, 0.3672).

***

Density functional theory data (GGA-PBE) for a geometry-optimized CeS2 structure.

Its total magnetization is 7.62 Bohr magnetons per cell. The value obtained for the density of states at the Fermi level is 50.50 states/eV/cell. The calculation puts the calculated density at 5.22 Mg/m³. Its energy relative to the elements, uncorrected is -1.7005 eV/atom.

The space group is Pnma (No. 62) and the conventional cell measures 7.9777, 16.0781 and 4.0519 Å, with angles of 90.00, 90.00 and 90.00 degrees. The inequivalent atoms are Ce at (0.1295, 0.1110, 0.2236), S at (0.1010, 0.2500, 0.6710), S at (0.1108, 0.7500, 0.6465) and S at (0.1247, 0.5676, 0.2400).

***

Density functional theory data (GGA-PBE) for a geometry-optimized Rb2BRh structure.

Its total magnetization is 0.00 Bohr magnetons per cell. The value obtained for the density of states at the Fermi level is 9.86 states/eV/cell. The formation energy from the elements is 0.489 eV/atom. The calculation puts the calculated density at 2.99 Mg/m³.

The space group is I-42d (No. 122) and the conventional cell measures 12.5964, 12.5964 and 3.9876 Å, with angles of 90.00, 90.00 and 90.00 degrees. The inequivalent atoms are Rb at (0.0449, 0.2500, 0.1250), B at (0.0000, 0.0000, 0.5000) and Rh at (0.0000, 0.0000, 0.0000).

***

Density functional theory data (GGA-PBE) for a geometry-optimized Ni3W structure.

Its total magnetization is 0.00 Bohr magnetons per cell. The value obtained for the density of states at the Fermi level is 20.43 states/eV/cell. The formation energy from the elements is 0.048 eV/atom. The calculation puts the calculated density at 12.22 Mg/m³.

The space group is Cmcm (No. 63) and the conventional cell measures 5.0893, 9.1394 and 4.2062 Å, with angles of 90.00, 90.00 and 90.00 degrees. The inequivalent atoms are Ni at (0.0000, 0.0812, 0.2500), Ni at (0.2484, 0.1659, 0.7500) and W at (0.0000, 0.4059, 0.7500).

***

Density functional theory data (GGA-PBE) for a geometry-optimized Ac4GaIr3 structure.

Its total magnetization is 0.00 Bohr magnetons per cell. The value obtained for the density of states at the Fermi level is 4.64 states/eV/cell. The formation energy from the elements is -0.589 eV/atom. The calculation puts the calculated density at 11.64 Mg/m³.

The space group is Pmm2 (No. 25) and the conventional cell measures 4.2320, 4.4881 and 11.6771 Å, with angles of 90.00, 90.00 and 90.00 degrees. The inequivalent atoms are Ac at (0.0000, 0.0000, 0.0000), Ac at (0.0000, 0.5000, 0.2585), Ac at (0.5000, 0.0000, 0.4765), Ac at (0.5000, 0.5000, 0.7706), Ga at (0.0000, 0.0000, 0.6861), Ir at (0.0000, 0.5000, 0.5704), Ir at (0.5000, 0.0000, 0.2141) and Ir at (0.5000, 0.5000, 0.0375).

***

Density functional theory data (GGA-PBE) for a geometry-optimized TiCF2 structure.

Its total magnetization is 0.00 Bohr magnetons per cell. The value obtained for the energy relative to the lowest polymorph listed for this composition is 500.8 meV per atom. The value obtained for the density of states at the Fermi level is 1.20 states/eV/cell. The calculation puts the calculated density at 2.95 Mg/m³. Its energy relative to the elements, uncorrected is -0.4273 eV/atom.

The space group is R-3m (No. 166, hexagonal axes) and the conventional cell measures 2.6435, 2.6435 and 27.2868 Å, with angles of 90.00, 90.00 and 120.00 degrees. The inequivalent atoms are Ti at (0.0000, 0.0000, 0.0000), C at (0.0000, 0.0000, 0.5000) and F at (0.0000, 0.0000, 0.3848).

***

Density functional theory data (GGA-PBE) for a geometry-optimized Ba2ScCd structure.

Its total magnetization is 1.09 Bohr magnetons per cell. The value obtained for the density of states at the Fermi level is 6.32 states/eV/cell. The formation energy from the elements is 0.004 eV/atom. The calculation puts the calculated density at 4.54 Mg/m³.

The space group is P4mm (No. 99) and the conventional cell measures 3.9815, 3.9815 and 9.9742 Å, with angles of 90.00, 90.00 and 90.00 degrees. The inequivalent atoms are Ba at (0.0000, 0.0000, 0.0000), Ba at (0.5000, 0.5000, 0.3717), Sc at (0.5000, 0.5000, 0.7346) and Cd at (0.0000, 0.0000, 0.6122).

***

Density functional theory data (GGA-PBE) for a geometry-optimized Ac12Pm3Mg structure.

Its total magnetization is 0.00 Bohr magnetons per cell. The value obtained for the density of states at the Fermi level is 22.57 states/eV/cell. The formation energy from the elements is 0.024 eV/atom. The calculation puts the calculated density at 7.93 Mg/m³.

The space group is P4/mmm (No. 123) and the conventional cell measures 5.4945, 5.4945 and 22.0808 Å, with angles of 90.00, 90.00 and 90.00 degrees. The inequivalent atoms are Ac at (0.0000, 0.0000, 0.0000), Ac at (0.0000, 0.0000, 0.2485), Ac at (0.0000, 0.0000, 0.5000), Ac at (0.0000, 0.5000, 0.1236), Ac at (0.0000, 0.5000, 0.3742), Pm at (0.5000, 0.5000, 0.2480), Pm at (0.5000, 0.5000, 0.5000) and Mg at (0.5000, 0.5000, 0.0000).

***

Density functional theory data (GGA-PBE) for a geometry-optimized K2NaIn6Sn structure.

Its total magnetization is 0.00 Bohr magnetons per cell. The value obtained for the density of states at the Fermi level is 21.31 states/eV/cell. The formation energy from the elements is 0.166 eV/atom. The calculation puts the calculated density at 3.81 Mg/m³.

The space group is Fm-3m (No. 225) and the conventional cell measures 11.6559, 11.6559 and 11.6559 Å, with angles of 90.00, 90.00 and 90.00 degrees. The inequivalent atoms are K at (0.2500, 0.2500, 0.2500), Na at (0.0000, 0.0000, 0.0000), In at (0.0000, 0.0000, 0.2518) and Sn at (0.0000, 0.0000, 0.5000).

***

Density functional theory data (GGA-PBE) for a geometry-optimized K2Ba6Rh structure.

Its total magnetization is 0.00 Bohr magnetons per cell. The value obtained for the density of states at the Fermi level is 31.20 states/eV/cell. The formation energy from the elements is 0.027 eV/atom. The calculation puts the calculated density at 3.14 Mg/m³.

The space group is R3m (No. 160, hexagonal axes) and the conventional cell measures 8.8523, 8.8523 and 23.4858 Å, with angles of 90.00, 90.00 and 120.00 degrees. The inequivalent atoms are K at (0.0000, 0.0000, 0.0000), K at (0.0000, 0.0000, 0.1671), Ba at (0.1739, 0.3479, 0.4956), Ba at (0.1743, 0.3486, 0.3269) and Rh at (0.0000, 0.0000, 0.7455).

***

Density functional theory data (GGA-PBE) for a geometry-optimized HfH3Ru structure.

Its total magnetization is 0.00 Bohr magnetons per cell. The total energy comes out at -30.068 eV/cell. The value obtained for the density of states at the Fermi level is 3.72 states/eV/cell. The calculation puts the calculated density at 10.77 Mg/m³.

The space group is Pm-3m (No. 221) and the conventional cell measures 3.5189, 3.5189 and 3.5189 Å, with angles of 90.00, 90.00 and 90.00 degrees. The inequivalent atoms are Hf at (0.0000, 0.0000, 0.0000), H at (0.0000, 0.5000, 0.5000) and Ru at (0.5000, 0.5000, 0.5000).

***

Density functional theory data (GGA-PBE) for a geometry-optimized Zr3HgS structure.

Its total magnetization is 0.00 Bohr magnetons per cell. The value obtained for the energy relative to the lowest polymorph listed for this composition is 0.0 meV per atom. The value obtained for the density of states at the Fermi level is 15.48 states/eV/cell. The calculation puts the calculated density at 8.05 Mg/m³. Its energy relative to the elements, uncorrected is -0.7504 eV/atom.

The space group is Pnma (No. 62) and the conventional cell measures 8.2248, 3.7236 and 13.6349 Å, with angles of 90.00, 90.00 and 90.00 degrees. The inequivalent atoms are Zr at (0.0263, 0.2500, 0.1125), Zr at (0.1583, 0.2500, 0.5072), Zr at (0.1915, 0.7500, 0.2829), Hg at (0.0850, 0.7500, 0.6735) and S at (0.1614, 0.2500, 0.9445).